Entry 1:
## BaLiPm2S4 (PBE-GGA)

Data for BaLiPm2S4 after structural relaxation.

Results
Crystal system: orthorhombic
Raw formation energy, eV/f.u.: -15.6
Electronic total energy, eV per atom: -5.684
Theoretical density, g/cm³: 4.7
DOS at the Fermi energy, states/eV/cell: 3.4

abc: 4.1143 7.1385 14.0095
angles: 90.00 90.00 106.75
Closest atoms and distances in Å follow each position.
Fractional positions:
S1 0.7337 0.4674 0.6167  1 Li 2.39
S2 0.2663 0.5326 0.3833  1 Li 2.39
S3 0.2663 0.5326 0.1167  1 Li 2.39
S4 0.7337 0.4674 0.8833  1 Li 2.39
S5 0.0000 0.0000 0.5000  4 Pm 2.81
S6 0.4352 0.8704 0.7500  2 Li 2.41
S7 0.5648 0.1296 0.2500  2 Li 2.41
S8 0.0000 0.0000 0.0000  4 Pm 2.81
Li1 0.1570 0.3141 0.2500  4 S 2.39-2.41
Li2 0.8430 0.6859 0.7500  4 S 2.39-2.41
Pm1 0.3714 0.7429 0.9449  6 S 2.80-2.92
Pm2 0.6286 0.2571 0.0551  6 S 2.80-2.92
Pm3 0.3714 0.7429 0.5551  6 S 2.80-2.92
Pm4 0.6286 0.2571 0.4449  6 S 2.80-2.92
Ba1 0.1138 0.2276 0.7500  6 S 3.19-3.23
Ba2 0.8862 0.7724 0.2500  6 S 3.19-3.23

Entry 2:
## BaLi2Pm2Sb2 (PBE-GGA)

Data for BaLi2Pm2Sb2 after structural relaxation.

Results
Crystal system: trigonal
Raw formation energy, eV/f.u.: -4.5
Electronic total energy, eV per atom: -3.995
Theoretical density, g/cm³: 5.5
DOS at the Fermi energy, states/eV/cell: 6.1

abc: 4.8983 4.8983 10.2646
angles: 76.20 76.20 60.00
Closest atoms and distances in Å follow each position.
Fractional positions:
Li1 0.5794 0.5794 0.2617  3 Sb 2.83, 3 Pm 3.15
Li2 0.4206 0.4206 0.7383  3 Sb 2.83, 3 Pm 3.15
Ba1 0.0000 0.0000 0.0000  6 Sb 3.70, 6 Li 3.83, 2 Pm 3.96
Pm1 0.8662 0.8662 0.4013  3 Li 3.15, 4 Sb 3.24-3.52, 3 Pm 3.43
Pm2 0.1338 0.1338 0.5987  3 Li 3.15, 4 Sb 3.24-3.52, 3 Pm 3.43
Sb1 0.7474 0.7474 0.7579  3 Li 2.83
Sb2 0.2526 0.2526 0.2421  3 Li 2.83

Entry 3:
## Ba2Li3PmSb4 (PBE-GGA)

Data for Ba2Li3PmSb4 after structural relaxation.

Results
Crystal system: tetragonal
Raw formation energy, eV/f.u.: -8.4
Electronic total energy, eV per atom: -3.918
Theoretical density, g/cm³: 5.2
DOS at the Fermi energy, states/eV/cell: 3.9

abc: 4.9650 4.9650 12.1050
angles: 90.00 90.00 90.00
Closest atoms and distances in Å follow each position.
Fractional positions:
Li1 0.0000 0.0000 0.5000  4 Sb 3.07
Li2 0.5000 0.0000 0.8845  5 Sb 2.84-2.85
Li3 0.0000 0.5000 0.1155  5 Sb 2.84-2.85
Sb1 0.0000 0.5000 0.3503  3 Li 2.84-3.07, 2 Pm 3.07
Sb2 0.0000 0.0000 0.0000  4 Li 2.85
Sb3 0.5000 0.5000 0.0000  4 Li 2.85
Sb4 0.5000 0.0000 0.6497  3 Li 2.84-3.07, 2 Pm 3.07
Pm1 0.5000 0.5000 0.5000  4 Sb 3.07
Ba1 0.0000 0.5000 0.7818  8 Sb 3.62-3.86, 5 Li 3.72-4.04
Ba2 0.5000 0.0000 0.2182  8 Sb 3.62-3.86, 5 Li 3.72-4.04

Entry 4:
## BaLiPmSe3 (PBE-GGA)

Data for BaLiPmSe3 after structural relaxation.

Results
Crystal system: monoclinic
Raw formation energy, eV/f.u.: -10.9
Electronic total energy, eV per atom: -4.983
Theoretical density, g/cm³: 4.9

abc: 4.3161 9.0222 9.3507
angles: 104.06 90.00 90.00
Closest atoms and distances in Å follow each position.
Fractional positions:
Pm1 0.2500 0.6697 0.1632  6 Se 2.92-3.00
Pm2 0.7500 0.3303 0.8368  6 Se 2.92-3.00
Ba1 0.2500 0.1880 0.2390  7 Se 3.35-3.43, 1 Li 3.62
Ba2 0.7500 0.8120 0.7610  7 Se 3.35-3.43, 1 Li 3.62
Se1 0.2500 0.7954 0.4821  3 Li 2.56-2.57
Se2 0.2500 0.5564 0.8343  3 Pm 2.97-3.00
Se3 0.7500 0.4436 0.1657  3 Pm 2.97-3.00
Se4 0.7500 0.8856 0.1328  1 Li 2.54
Se5 0.2500 0.1144 0.8672  1 Li 2.54
Se6 0.7500 0.2046 0.5179  3 Li 2.56-2.57
Li1 0.7500 0.9150 0.4102  4 Se 2.54-2.57
Li2 0.2500 0.0850 0.5898  4 Se 2.54-2.57

Entry 5:
## BaLiPmSi (PBE-GGA)

Data for BaLiPmSi after structural relaxation.

Results
Crystal system: cubic
Raw formation energy, eV/f.u.: -0.5
Electronic total energy, eV per atom: -3.623
Theoretical density, g/cm³: 4.7
DOS at the Fermi energy, states/eV/cell: 2.1

abc: 5.4276 5.4276 5.4276
angles: 60.00 60.00 60.00
Closest atoms and distances in Å follow each position.
Fractional positions:
Ba1 0.7500 0.7500 0.7500  4 Li 3.32, 4 Si 3.32
Si1 0.5000 0.5000 0.5000  4 Pm 3.32, 4 Ba 3.32
Pm1 0.2500 0.2500 0.2500  4 Li 3.32, 4 Si 3.32
Li1 0.0000 0.0000 0.0000  4 Ba 3.32, 4 Pm 3.32

Entry 6:
## BaLi2Pm2Sn2 (PBE-GGA)

Data for BaLi2Pm2Sn2 after structural relaxation.

Results
Crystal system: trigonal
DFT formation energy, kJ per mole of atoms: -47.8
Electronic total energy, eV per atom: -3.818
Theoretical density, g/cm³: 5.3
DOS at the Fermi energy, states/eV/cell: 3.1

abc: 4.9909 4.9909 10.2702
angles: 75.94 75.94 60.00
Closest atoms and distances in Å follow each position.
Fractional positions:
Ba1 0.0000 0.0000 0.0000  6 Sn 3.79, 6 Li 3.89, 2 Pm 3.91
Li1 0.5781 0.5781 0.2656  3 Sn 2.89, 3 Pm 3.16
Li2 0.4219 0.4219 0.7344  3 Sn 2.89, 3 Pm 3.16
Sn1 0.2500 0.2500 0.2500  3 Li 2.89, 3 Pm 3.22
Sn2 0.7500 0.7500 0.7500  3 Li 2.89, 3 Pm 3.22
Pm1 0.8679 0.8679 0.3964  3 Li 3.16, 4 Sn 3.22-3.49, 3 Pm 3.53
Pm2 0.1321 0.1321 0.6036  3 Li 3.16, 4 Sn 3.22-3.49, 3 Pm 3.53